No. 1
# Ag4SeS (PBE, relaxed)
# DFT total energy ... -3.223 eV/atom
# Calculated volume ... 24.96 Å³ per atom
data_Ag4SeS
_space_group_name_H-M_alt 'P 1'
_space_group_IT_number 1
_space_group_name_Hall 'P 1'
_cell_length_a 4.3964
_cell_length_b 5.9081
_cell_length_c 5.9205
_cell_angle_alpha 89.76
_cell_angle_beta 88.18
_cell_angle_gamma 77.00
loop_
_atom_site_label
_atom_site_type_symbol
_atom_site_fract_x
_atom_site_fract_y
_atom_site_fract_z
Ag1 Ag 0.0000 0.0000 0.0000
Ag2 Ag 0.0269 0.0333 0.4972
Ag3 Ag 0.0634 0.5278 0.5684
Ag4 Ag 0.9190 0.5193 0.0819
Se1 Se 0.6722 0.3179 0.7657
S1 S 0.3037 0.7175 0.2547


No. 2
# AsPd (PBE, relaxed)
# DFT total energy ... -4.953 eV/atom
# Calculated volume ... 21.96 Å³ per atom
data_AsPd
_space_group_name_H-M_alt 'F -4 3 m'
_space_group_IT_number 216
_space_group_name_Hall 'F -4 2 3'
_cell_length_a 5.6003
_cell_length_b 5.6003
_cell_length_c 5.6003
_cell_angle_alpha 90.00
_cell_angle_beta 90.00
_cell_angle_gamma 90.00
loop_
_atom_site_label
_atom_site_type_symbol
_atom_site_fract_x
_atom_site_fract_y
_atom_site_fract_z
As1 As 0.0000 0.0000 0.0000
Pd1 Pd 0.2500 0.2500 0.7500